(1)
This record from Alexandria via LeMat-Bulk describes crystalline TbDyYSc at its relaxed geometry. The functional is PBE.

The space group is I-4m2 (No. 119) and the conventional cell measures 4.947, 4.947 and 9.777 Å, with angles of 90.00, 90.00 and 90.00 degrees. The distinct sites, in fractional coordinates, are Tb at (0.000, 0.000, 0.000), Dy at (0.000, 0.500, 0.250), Y at (0.000, 0.500, 0.750) and Sc at (0.000, 0.000, 0.500).

For the total magnetization, the calculation gives 0.00 μB per atom. Its total energy is -5.46 eV/atom.

(2)
This record from Alexandria via LeMat-Bulk describes crystalline MnSn3Ir at its relaxed geometry. The functional is PBE.

The space group is Pm-3m (No. 221) and the conventional cell measures 5.198, 5.198 and 5.198 Å, with angles of 90.00, 90.00 and 90.00 degrees. The distinct sites, in fractional coordinates, are Mn at (0.000, 0.000, 0.000), Sn at (0.000, 0.500, 0.500) and Ir at (0.500, 0.500, 0.500).

For the total magnetization, the calculation gives 0.90 μB per atom. Its total energy is -5.48 eV/atom.

(3)
This record from Alexandria via LeMat-Bulk describes crystalline PaMnCoGe2 at its relaxed geometry. The functional is PBE.

The space group is I-4m2 (No. 119) and the conventional cell measures 4.075, 4.075 and 9.670 Å, with angles of 90.00, 90.00 and 90.00 degrees. The distinct sites, in fractional coordinates, are Pa at (0.000, 0.000, 0.000), Mn at (0.000, 0.500, 0.750), Co at (0.000, 0.500, 0.250) and Ge at (0.000, 0.000, 0.369).

For the total magnetization, the calculation gives 0.00 μB per atom. Its total energy is -7.41 eV/atom.

(4)
This record from Alexandria via LeMat-Bulk describes crystalline RbMg3Au at its relaxed geometry. The functional is PBE.

The space group is Pm-3m (No. 221) and the conventional cell measures 5.319, 5.319 and 5.319 Å, with angles of 90.00, 90.00 and 90.00 degrees. The distinct sites, in fractional coordinates, are Rb at (0.000, 0.000, 0.000), Mg at (0.000, 0.500, 0.500) and Au at (0.500, 0.500, 0.500).

For the total magnetization, the calculation gives 0.00 μB per atom. Its total energy is -1.96 eV/atom.

(5)
This record from Alexandria via LeMat-Bulk describes crystalline Zr2BrCl at its relaxed geometry. The functional is PBE.

The space group is I-42d (No. 122) and the conventional cell measures 4.549, 4.549 and 17.751 Å, with angles of 90.00, 90.00 and 90.00 degrees. The distinct sites, in fractional coordinates, are Zr at (0.240, 0.250, 0.125), Br at (0.000, 0.000, 0.500) and Cl at (0.000, 0.000, 0.000).

For the total magnetization, the calculation gives 0.11 μB per atom. Its total energy is -5.57 eV/atom. The value obtained for the uncorrected formation energy is -421 meV/atom.

(6)
This record from Alexandria via LeMat-Bulk describes crystalline ScFePtN2 at its relaxed geometry. The functional is PBE.

The space group is P4/mmm (No. 123) and the conventional cell measures 3.842, 3.842 and 5.568 Å, with angles of 90.00, 90.00 and 90.00 degrees. The distinct sites, in fractional coordinates, are Sc at (0.000, 0.000, 0.000), Fe at (0.500, 0.500, 0.000), Pt at (0.000, 0.000, 0.500) and N at (0.000, 0.500, 0.500).

For the total magnetization, the calculation gives 0.58 μB per atom. Its total energy is -6.16 eV/atom. The value obtained for the uncorrected formation energy is 1336 meV/atom.

(7)
This record from Alexandria via LeMat-Bulk describes crystalline Ca2TlW at its relaxed geometry. The functional is PBE.

The space group is C2/m (No. 12) and the conventional cell measures 6.332, 9.866 and 3.115 Å, with angles of 90.00, 90.17 and 90.00 degrees. The distinct sites, in fractional coordinates, are Ca at (0.250, 0.250, 0.000), Tl at (0.000, 0.000, 0.500) and W at (0.000, 0.500, 0.500).

For the total magnetization, the calculation gives 0.00 μB per atom. Its total energy is -4.18 eV/atom.

(8)
This record from Alexandria via LeMat-Bulk describes crystalline Er12Tm2Th at its relaxed geometry. The functional is PBE.

The space group is P-1 (No. 2) and the conventional cell measures 3.521, 5.519 and 24.032 Å, with angles of 96.54, 94.19 and 90.02 degrees. The distinct sites, in fractional coordinates, are Er at (0.032, 0.033, 0.066), Er at (0.072, 0.572, 0.144), Er at (0.161, 0.161, 0.323), Er at (0.200, 0.700, 0.402), Er at (0.273, 0.773, 0.543), Er at (0.405, 0.904, 0.808), Tm at (0.362, 0.362, 0.723) and Th at (0.500, 0.500, 0.000).

For the total magnetization, the calculation gives 0.00 μB per atom. Its total energy is -4.71 eV/atom.